Cs2RbW2O7: optimized geometry, GGA+U.

It has space group R32 (No. 155, hexagonal axes), with a = 7.0415 Å, b = 7.0415 Å, c = 24.7418 Å, α = 90.00°, β = 90.00° and γ = 120.00°. The distinct sites, in fractional coordinates, are Cs at (0.0000, 0.0000, 0.2382), Rb at (0.0000, 0.0000, 0.5000), W at (0.0000, 0.0000, 0.0803), O at (0.0000, 0.0000, 0.0000) and O at (0.0582, 0.4588, 0.7663).

As for the total energy: -6.156 eV per atom. As for the theoretical density: 3.9 g/cm³. The calculated volume is 354.1 Å³/f.u.